Compound: Ce8In2Mo
Source: Alexandria
Functional: PBE
Structure: optimized geometry

The formation energy from the elements comes out at -0.09 eV/atom.

CIF file:
```
data_Ce8In2Mo
_cell_length_a 5.6692
_cell_length_b 7.1081
_cell_length_c 14.3882
_cell_angle_alpha 90.00
_cell_angle_beta 90.00
_cell_angle_gamma 90.00
_space_group_name_H-M_alt 'I m m m'
_space_group_IT_number 71
_space_group_name_Hall '-I 2 2'
loop_
_atom_site_label
_atom_site_fract_x
_atom_site_fract_y
_atom_site_fract_z
Ce1 0.0000 0.0000 0.1379
Ce2 0.0000 0.2070 0.3764
Ce3 0.0000 0.2614 0.0000
In1 0.0000 0.5000 0.2005
Mo1 0.0000 0.5000 0.5000
```